1.
First-principles (GGA-PBE) data for crystalline LaPm3Ga3 at its relaxed geometry, as listed in the Alexandria database.

Energy of formation from the pure elements in eV per atom: -0.43
Magnetization in μB/cell: 0.0

Lattice parameters (Å, degrees): 9.5591 9.5591 4.8624 90.00 90.00 120.00
Space group P6_3/m (No. 176)
Symmetry-distinct sites (fractional):
La 0.3333 0.6667 0.2500 [2 per cell]
Pm 0.0225 0.2616 0.7500 [6 per cell]
Ga 0.0568 0.6059 0.7500 [6 per cell]



2.
First-principles (GGA-PBE) data for crystalline La3Pm2Ga3 at its relaxed geometry, as listed in the Alexandria database.

Energy of formation from the pure elements in eV per atom: -0.42
Magnetization in μB/cell: 0.0
Distance to the lowest polymorph of the same formula in meV/atom: 7

Lattice parameters (Å, degrees): 3.8145 5.3866 22.4594 90.00 90.00 90.00
Space group Immm (No. 71)
Symmetry-distinct sites (fractional):
La 0.0000 0.0000 0.0000 [2 per cell]
La 0.0000 0.5000 0.1163 [4 per cell]
Pm 0.0000 0.0000 0.2276 [4 per cell]
Ga 0.0000 0.0000 0.5000 [2 per cell]
Ga 0.0000 0.5000 0.3804 [4 per cell]



3.
First-principles (GGA-PBE) data for crystalline La2Pm8Ga at its relaxed geometry, as listed in the Alexandria database.

Energy of formation from the pure elements in eV per atom: -0.01
Magnetization in μB/cell: 0.0

Lattice parameters (Å, degrees): 19.1493 5.6095 7.5807 90.00 113.24 90.00
Space group C2/m (No. 12)
Symmetry-distinct sites (fractional):
La 0.1914 0.0000 0.1912 [4 per cell]
Pm 0.0003 0.0000 0.2570 [4 per cell]
Pm 0.1293 0.5000 0.8934 [4 per cell]
Pm 0.1300 0.5000 0.3674 [4 per cell]
Pm 0.1793 0.0000 0.6800 [4 per cell]
Ga 0.0000 0.5000 0.5000 [2 per cell]



4.
First-principles (GGA-PBE) data for crystalline LaPm2Ga3 at its relaxed geometry, as listed in the Alexandria database.

Energy of formation from the pure elements in eV per atom: -0.57
Magnetization in μB/cell: 0.0
Distance to the lowest polymorph of the same formula in meV/atom: 4

Lattice parameters (Å, degrees): 5.2350 15.7421 7.3976 90.00 90.00 90.00
Space group Cmmm (No. 65)
Symmetry-distinct sites (fractional):
La 0.0000 0.1666 0.0000 [4 per cell]
Pm 0.0000 0.1692 0.5000 [4 per cell]
Pm 0.0000 0.5000 0.0000 [2 per cell]
Pm 0.0000 0.5000 0.5000 [2 per cell]
Ga 0.0000 0.0000 0.2589 [4 per cell]
Ga 0.0000 0.3363 0.2582 [8 per cell]



5.
First-principles (GGA-PBE) data for crystalline LaPmGa2 at its relaxed geometry, as listed in the Alexandria database.

Energy of formation from the pure elements in eV per atom: -0.59
Magnetization in μB/cell: 0.0

Lattice parameters (Å, degrees): 4.2135 4.4924 11.4044 90.00 90.00 90.00
Space group Amm2 (No. 38)
Symmetry-distinct sites (fractional):
La 0.0000 0.0000 0.0000 [2 per cell]
Pm 0.5000 0.0000 0.7192 [2 per cell]
Ga 0.0000 0.0000 0.2849 [2 per cell]
Ga 0.5000 0.0000 0.4242 [2 per cell]



6.
First-principles (GGA-PBE) data for crystalline LaPm4Ga2 at its relaxed geometry, as listed in the Alexandria database.

Energy of formation from the pure elements in eV per atom: -0.11
Magnetization in μB/cell: 0.0

Lattice parameters (Å, degrees): 5.0101 5.0101 31.2413 90.00 90.00 120.00
Space group R-3m (No. 166, hexagonal axes)
Symmetry-distinct sites (fractional):
La 0.0000 0.0000 0.0000 [3 per cell]
Pm 0.0000 0.0000 0.2019 [6 per cell]
Pm 0.0000 0.0000 0.3956 [6 per cell]
Ga 0.0000 0.0000 0.0999 [6 per cell]



7.
First-principles (GGA-PBE) data for crystalline La12Pm3Ga5 at its relaxed geometry, as listed in the Alexandria database.

Energy of formation from the pure elements in eV per atom: 0.29
Magnetization in μB/cell: 16.7

Lattice parameters (Å, degrees): 18.5084 18.5084 18.5084 90.00 90.00 90.00
Space group Ia-3d (No. 230)
Symmetry-distinct sites (fractional):
La 0.0292 0.0683 0.6442 [96 per cell]
Pm 0.0000 0.2500 0.1250 [24 per cell]
Ga 0.0000 0.0000 0.0000 [16 per cell]
Ga 0.0000 0.2500 0.3750 [24 per cell]



8.
First-principles (GGA-PBE) data for crystalline LaPm3Ga4 at its relaxed geometry, as listed in the Alexandria database.

Energy of formation from the pure elements in eV per atom: -0.56
Magnetization in μB/cell: 0.0

Lattice parameters (Å, degrees): 5.2263 5.2263 7.3935 90.00 90.00 90.00
Space group P4/mmm (No. 123)
Symmetry-distinct sites (fractional):
La 0.0000 0.0000 0.0000 [1 per cell]
Pm 0.0000 0.0000 0.5000 [1 per cell]
Pm 0.5000 0.5000 0.0000 [1 per cell]
Pm 0.5000 0.5000 0.5000 [1 per cell]
Ga 0.0000 0.5000 0.2565 [4 per cell]



9.
First-principles (GGA-PBE) data for crystalline La8PmGa2 at its relaxed geometry, as listed in the Alexandria database.

Energy of formation from the pure elements in eV per atom: -0.17
Magnetization in μB/cell: 0.0
Distance to the lowest polymorph of the same formula in meV/atom: 0

Lattice parameters (Å, degrees): 17.5289 5.3229 8.5014 90.00 113.30 90.00
Space group C2/m (No. 12)
Symmetry-distinct sites (fractional):
La 0.0507 0.0000 0.2352 [4 per cell]
La 0.1209 0.5000 0.9762 [4 per cell]
La 0.1522 0.0000 0.7233 [4 per cell]
La 0.1876 0.5000 0.4532 [4 per cell]
Pm 0.0000 0.5000 0.5000 [2 per cell]
Ga 0.2186 0.0000 0.1508 [4 per cell]



10.
First-principles (GGA-PBE) data for crystalline LaPm4Ga5 at its relaxed geometry, as listed in the Alexandria database.

Energy of formation from the pure elements in eV per atom: -0.57
Magnetization in μB/cell: 0.0

Lattice parameters (Å, degrees): 3.6828 3.6828 18.4948 90.00 90.00 90.00
Space group P4/mmm (No. 123)
Symmetry-distinct sites (fractional):
La 0.0000 0.0000 0.0000 [1 per cell]
Pm 0.0000 0.0000 0.2038 [2 per cell]
Pm 0.0000 0.0000 0.4011 [2 per cell]
Ga 0.5000 0.5000 0.1067 [2 per cell]
Ga 0.5000 0.5000 0.3027 [2 per cell]
Ga 0.5000 0.5000 0.5000 [1 per cell]



11.
First-principles (GGA-PBE) data for crystalline LaPm2Ga6 at its relaxed geometry, as listed in the Alexandria database.

Energy of formation from the pure elements in eV per atom: -0.69
Magnetization in μB/cell: 0.0
Distance to the lowest polymorph of the same formula in meV/atom: 0

Lattice parameters (Å, degrees): 7.4150 7.4150 4.3353 90.00 90.00 120.00
Space group P6/mmm (No. 191)
Symmetry-distinct sites (fractional):
La 0.0000 0.0000 0.0000 [1 per cell]
Pm 0.3333 0.6667 0.0000 [2 per cell]
Ga 0.0000 0.3348 0.5000 [6 per cell]



12.
First-principles (GGA-PBE) data for crystalline LaPm5Ga2 at its relaxed geometry, as listed in the Alexandria database.

Energy of formation from the pure elements in eV per atom: -0.18
Magnetization in μB/cell: 0.0

Lattice parameters (Å, degrees): 4.4393 9.7888 11.2995 90.00 90.00 90.00
Space group Immm (No. 71)
Symmetry-distinct sites (fractional):
La 0.0000 0.0000 0.0000 [2 per cell]
Pm 0.0000 0.2003 0.3484 [8 per cell]
Pm 0.0000 0.5000 0.0000 [2 per cell]
Ga 0.0000 0.5000 0.2787 [4 per cell]